# 1
Compound: ReH2SeO5
Source: OQMD via LeMat-Bulk
Functional: PBE
Structure: optimized geometry

Cell and atoms, written as POSCAR:
```
ReH2SeO5
1.0
3.347 -3.782 0.000
3.347 3.782 0.000
-2.022 0.000 6.940
O Re H Se
10 2 4 2
Cartesian
2.841 -1.152 1.735 O
3.960 1.772 0.959 O
1.830 1.152 5.205 O
1.723 1.772 2.512 O
2.948 -1.772 4.429 O
4.108 0.593 3.520 O
-0.448 0.593 6.890 O
0.711 -1.772 5.982 O
5.119 -0.593 0.050 O
0.563 -0.593 3.420 O
3.347 0.000 0.000 Re
2.336 0.000 3.470 Re
2.689 1.704 5.496 H
1.982 -1.704 1.444 H
0.971 1.704 4.915 H
3.700 -1.704 2.026 H
1.830 -2.909 5.205 Se
2.841 2.909 1.735 Se
```

Summary:
space-group type	No. 15
M_tot	0.80	μB/f.u.
energy	-6.004	eV per atom

# 2
Compound: TmLuNO
Source: OQMD via LeMat-Bulk
Functional: PBE
Structure: optimized geometry

Cell and atoms, written as POSCAR:
```
TmLuNO
1.0
-2.098 2.232 2.322
2.848 -1.081 3.612
3.949 5.302 -1.528
Lu Tm N O
2 2 2 2
Cartesian
5.303 2.517 2.371 Lu
2.567 1.297 1.073 Lu
2.268 0.967 4.301 Tm
3.504 5.078 1.466 Tm
4.013 0.782 2.874 N
3.862 3.030 0.576 N
0.904 1.588 2.471 O
4.868 4.458 3.294 O
```

Summary:
space-group type	No. 51
M_tot	0.01	μB/f.u.
ΔE to the lowest computed polymorph	96	meV per atom

# 3
Compound: GdOF
Source: OQMD via LeMat-Bulk
Functional: PBE
Structure: optimized geometry

Cell and atoms, written as POSCAR:
```
GdOF
1.0
3.819 0.000 0.000
0.000 3.819 0.000
0.000 0.000 5.613
F Gd O
2 2 2
Cartesian
1.910 0.000 3.407 F
0.000 1.910 2.206 F
1.910 0.000 1.145 Gd
0.000 1.910 4.468 Gd
1.910 1.910 0.000 O
0.000 0.000 0.000 O
```

Summary:
space-group type	No. 129
M_tot	0.00	μB/f.u.
energy	-7.603	eV per atom

# 4
Compound: TmZnGa
Source: OQMD via LeMat-Bulk
Functional: PBE
Structure: optimized geometry

Cell and atoms, written as POSCAR:
```
TmZnGa
1.0
4.370 0.000 0.000
-2.185 3.785 0.000
0.000 0.000 7.080
Ga Zn Tm
2 2 2
Cartesian
2.185 1.262 1.770 Ga
0.000 2.523 5.310 Ga
2.185 1.262 5.310 Zn
0.000 2.523 1.770 Zn
0.000 0.000 0.000 Tm
0.000 0.000 3.540 Tm
```

Summary:
space-group type	No. 194
M_tot	0.00	μB/f.u.
energy	-3.466	eV per atom

# 5
Compound: PrCoOs
Source: OQMD via LeMat-Bulk
Functional: PBE
Structure: optimized geometry

Cell and atoms, written as POSCAR:
```
PrCoOs
1.0
0.000 3.189 3.189
3.189 0.000 3.189
3.189 3.189 0.000
Os Co Pr
1 1 1
Cartesian
0.000 0.000 0.000 Os
3.189 3.189 3.189 Co
1.595 1.595 1.595 Pr
```

Summary:
space-group type	No. 216
M_tot	2.08	μB/f.u.
E_form	1.47	eV per atom
ΔE to the lowest computed polymorph	731	meV per atom

# 6
Compound: Sr2Ir2O5
Source: OQMD via LeMat-Bulk
Functional: PBE
Structure: optimized geometry

Cell and atoms, written as POSCAR:
```
Sr2Ir2O5
1.0
0.431 -2.854 8.212
-5.523 2.672 -6.175
-0.234 -2.831 -8.228
Sr O Ir
4 10 4
Cartesian
-2.098 -3.094 -5.244 Sr
-0.760 -3.057 -1.899 Sr
-4.755 0.037 -4.217 Sr
-3.418 0.074 -0.871 Sr
-4.635 -2.443 -4.404 O
-4.353 -1.527 -7.122 O
-3.183 -2.403 -0.771 O
-2.149 -0.611 -5.418 O
-1.112 -1.438 0.986 O
-0.697 -0.571 -1.785 O
-1.805 -1.489 -8.141 O
-4.087 1.273 -6.208 O
-2.734 1.007 -3.095 O
-5.537 -1.255 -10.303 O
-1.498 -0.475 -3.573 Ir
-3.976 -2.543 -2.560 Ir
-2.927 -0.081 -7.183 Ir
-0.048 -0.002 0.019 Ir
```

Summary:
space-group type	No. 46
M_tot	0.31	μB/f.u.
ΔE to the lowest computed polymorph	15	meV per atom

# 7
Compound: ZrFeAgGe
Source: OQMD via LeMat-Bulk
Functional: PBE
Structure: optimized geometry

Cell and atoms, written as POSCAR:
```
ZrFeAgGe
1.0
3.975 -0.810 -2.117
2.890 -3.125 1.678
0.645 -3.947 -2.223
Zr Ge Fe Ag
1 1 1 1
Cartesian
1.878 -1.970 -0.665 Zr
0.000 0.000 0.000 Ge
5.633 -5.911 -1.996 Fe
3.755 -3.941 -1.330 Ag
```

Summary:
space-group type	No. 216
M_tot	2.38	μB/f.u.
ΔE to the lowest computed polymorph	0	meV per atom

# 8
Compound: AuI2
Source: OQMD via LeMat-Bulk
Functional: PBE
Structure: optimized geometry

Cell and atoms, written as POSCAR:
```
AuI2
1.0
0.000 4.022 0.000
4.201 2.011 -0.296
0.353 -2.011 -6.606
I Au
2 1
Cartesian
3.226 4.022 -1.916 I
1.327 0.000 -4.986 I
0.000 0.000 0.000 Au
```

Summary:
space-group type	No. 12
energy	-2.156	eV per atom